Here is a geometry-optimized La3PrSm2 structure from the Alexandria database. Energies are from PBE.

```
data_La3PrSm2
_cell_length_a 3.5027
_cell_length_b 6.7946
_cell_length_c 18.4237
_cell_angle_alpha 90.00
_cell_angle_beta 90.00
_cell_angle_gamma 90.00
_symmetry_space_group_name_H-M 'P 1'
_symmetry_Int_Tables_number 1
loop_
_symmetry_equiv_pos_as_xyz
'x,y,z'
loop_
_atom_site_label
_atom_site_fract_x
_atom_site_fract_y
_atom_site_fract_z
La1 0.0000 0.0000 0.0000
La2 0.5000 0.2766 0.1859
La3 0.5000 0.5000 0.5000
La4 0.5000 0.7234 0.8141
La5 0.0000 0.2234 0.6859
La6 0.0000 0.7766 0.3141
Pr1 0.0000 0.0000 0.5000
Pr2 0.5000 0.5000 0.0000
Sm1 0.5000 0.2204 0.8513
Sm2 0.0000 0.2796 0.3513
Sm3 0.5000 0.7796 0.1487
Sm4 0.0000 0.7204 0.6487
```

## Properties
DFT formation energy in eV/atom: 0.2255
Polymorph energy (0 for the lowest one) in eV per formula unit: 1.27
Uncorrected energy in eV/atom: -4.608
Symmetry: Pnnm (58)